Computed, not measured: a relaxed NbTlZn2Ni crystal at the PBEsol level of DFT.

Properties
**Formation energy from the elements**: 1.6918 eV/atom

a b c (Å): 4.6963 4.6963 5.3099
angles (deg): 90.00 90.00 90.00
Last column: nearest neighbours and their distance in Å.
Positions (direct):
Zn: 0.5000 0.0000 0.0000  2 Tl 2.35
Tl: 0.0000 0.0000 0.0000  4 Zn 2.35
Ni: 0.5000 0.5000 0.5000  4 Nb 3.32, 8 Zn 3.54
Zn: 0.0000 0.5000 0.0000  2 Tl 2.35
Nb: 0.0000 0.0000 0.5000  2 Tl 2.65